(1)
{
  "formula": "Pm6NdDy",
  "functional": "PBE",
  "state": "relaxed",
  "sg": "No. 123",
  "e_form_kj_per_mol_atoms": 1.6,
  "lattice": [[5.145, 0.000, 0.000], [0.000, 5.145, 0.000], [0.000, 0.000, 10.288]],
  "species": ["Pm", "Pm", "Pm", "Pm", "Pm", "Pm", "Nd", "Dy"],
  "fractional_positions": [[0.000, 0.000, 0.000], [0.000, 0.000, 0.500], [0.000, 0.500, 0.248], [0.000, 0.500, 0.752], [0.500, 0.000, 0.248], [0.500, 0.000, 0.752], [0.500, 0.500, 0.500], [0.500, 0.500, 0.000]]
}

---

(2)
{
  "formula": "Pm4Nd4Dy3",
  "functional": "PBE",
  "state": "relaxed",
  "relative_energy_ev_per_fu": 0.00,
  "sg": "No. 2",
  "e_form_kj_per_mol_atoms": 5.1,
  "lattice": [[3.574, 0.000, 0.000], [0.000, 5.736, 0.000], [1.784, 2.841, 18.140]],
  "species": ["Pm", "Pm", "Pm", "Pm", "Nd", "Nd", "Nd", "Nd", "Dy", "Dy", "Dy"],
  "fractional_positions": [[0.090, 0.092, 0.319], [0.233, 0.733, 0.035], [0.767, 0.267, 0.965], [0.910, 0.908, 0.681], [0.046, 0.547, 0.408], [0.180, 0.180, 0.140], [0.820, 0.820, 0.860], [0.954, 0.453, 0.592], [0.364, 0.363, 0.772], [0.500, 0.000, 0.500], [0.636, 0.637, 0.228]]
}

---

Number 1: ρ 7175 kg/m3, E_tot -4.718 eV/atom. Number 2: ρ 7343 kg/m3, E_tot -4.663 eV/atom.